a | Material: Li2Ga8Co
Method: DFT, GGA-PBE
State: optimized geometry

As for the density of states at the Fermi level: 4.52 states/eV/f.u. As for the crystal system: monoclinic.

Cell and atoms, written as CIF:
```
data_Li2Ga8Co
_cell_length_a 16.589
_cell_length_b 4.049
_cell_length_c 5.473
_cell_angle_alpha 90.00
_cell_angle_beta 97.95
_cell_angle_gamma 90.00
_space_group_name_H-M_alt 'C 1 2/m 1'
_space_group_IT_number 12
loop_
_space_group_symop_operation_xyz
'x,y,z'
'-x,-y,-z'
'-x,y,-z'
'x,-y,z'
'x+1/2,y+1/2,z'
'-x+1/2,-y+1/2,-z'
'-x+1/2,y+1/2,-z'
'x+1/2,-y+1/2,z'
loop_
_atom_site_label
_atom_site_fract_x
_atom_site_fract_y
_atom_site_fract_z
Li1 0.202 0.000 0.100
Ga1 0.004 0.000 0.243
Ga2 0.119 0.500 0.814
Ga3 0.123 0.500 0.304
Ga4 0.204 0.000 0.602
Co1 0.000 0.500 0.500
```



b | Material: Li2Ga8Co
Method: DFT, GGA-PBE
State: optimized geometry

As for the density of states at the Fermi level: 4.43 states/eV/f.u. As for the crystal system: tetragonal.

Cell and atoms, written as CIF:
```
data_Li2Ga8Co
_cell_length_a 4.073
_cell_length_b 4.073
_cell_length_c 10.786
_cell_angle_alpha 90.00
_cell_angle_beta 90.00
_cell_angle_gamma 90.00
_space_group_name_H-M_alt 'P 4/m m m'
_space_group_IT_number 123
_space_group_name_Hall '-P 4 2'
loop_
_atom_site_label
_atom_site_fract_x
_atom_site_fract_y
_atom_site_fract_z
Li1 0.000 0.000 0.198
Ga1 0.000 0.500 0.000
Ga2 0.000 0.500 0.376
Ga3 0.500 0.500 0.191
Co1 0.000 0.000 0.500
```



Which of them is most stable? Easy: b.